DFT (PBE) results for an optimized crystal structure of Pm8PdAu2.

a = 9.4111 Å, b = 9.4111 Å, c = 7.0035 Å
α = 100.64°, β = 100.64°, γ = 31.86°
Sites, in units of the cell vectors:
Pm 0.0275 0.0275 0.2746
Pm 0.2019 0.2019 0.8309
Pm 0.3381 0.3381 0.5279
Pm 0.4114 0.4114 0.0496
Pm 0.5886 0.5886 0.9504
Pm 0.6619 0.6619 0.4721
Pm 0.7981 0.7981 0.1691
Pm 0.9725 0.9725 0.7254
Pd 0.5000 0.5000 0.5000
Au 0.1913 0.1913 0.2446
Au 0.8087 0.8087 0.7554

Values from the calculation:
Calculated volume   29.2 Å³/atom
Formation enthalpy at 0 K   -40 kJ/mol of atoms
Energy above the lowest structure with this stoichiometry   0 meV per atom
E   -54.4 eV/cell
Space group   C2/m (12)